Pr6Cd2Ir, optimized geometry, DFT PBE-GGA; D(E_F) = 1.161 states/eV/atom; calculated formation energy = -0.22 eV/atom
1.0
7.162 0.000 0.312
0.000 7.601 0.000
-0.478 0.000 10.954
Pr Cd Ir
12 4 2
Direct
0.398 0.497 0.750
0.307 0.819 0.042
0.177 0.302 0.040
0.193 0.319 0.458
0.102 0.997 0.750
0.677 0.198 0.540
0.807 0.681 0.542
0.323 0.802 0.460
0.602 0.503 0.250
0.898 0.003 0.250
0.693 0.181 0.958
0.823 0.698 0.960
0.450 0.091 0.252
0.050 0.591 0.248
0.950 0.409 0.752
0.550 0.909 0.748
0.000 0.000 0.500
0.500 0.500 0.000

Pr6CdIr2, optimized geometry, DFT PBE-GGA; D(E_F) = 0.890 states/eV/atom; calculated formation energy = -0.35 eV/atom
1.0
5.192 0.000 0.000
-2.596 5.190 1.036
0.000 0.046 9.515
Pr Cd Ir
6 1 2
Direct
0.661 0.322 0.611
0.037 0.073 0.152
0.710 0.420 0.166
0.963 0.927 0.848
0.290 0.580 0.834
0.339 0.678 0.389
0.000 0.000 0.500
0.380 0.759 0.097
0.620 0.241 0.903

Pr4Cd3Ir, optimized geometry, DFT PBE-GGA; D(E_F) = 0.964 states/eV/atom; calculated formation energy = -0.38 eV/atom
1.0
-1.369 -0.714 3.407
2.439 -2.809 0.392
10.487 9.984 6.308
Pr Cd Ir
4 3 1
Direct
0.000 0.000 0.630
0.000 0.000 0.105
0.000 0.000 0.895
0.000 0.000 0.370
0.500 0.500 0.243
0.500 0.500 0.757
0.500 0.500 0.500
0.500 0.500 0.000

PrScCdIr, optimized geometry, DFT PBE-GGA; D(E_F) = 0.669 states/eV/atom; calculated formation energy = -0.41 eV/atom
1.0
-4.680 -1.170 -1.408
-0.918 -1.426 -4.731
-1.204 -4.776 -0.996
Cd Pr Ir Sc
1 1 1 1
Direct
0.750 0.750 0.750
0.000 0.000 0.000
0.250 0.250 0.250
0.500 0.500 0.500

Pr2CdSn3Ir4, optimized geometry, DFT PBE-GGA; D(E_F) = 0.658 states/eV/atom; calculated formation energy = -0.46 eV/atom
1.0
-1.807 -4.005 0.193
2.516 -1.297 -3.367
8.063 -3.287 7.291
Sn Ir Pr Cd
3 4 2 1
Direct
0.000 0.000 0.500
0.500 0.000 0.871
0.000 0.500 0.129
0.000 0.000 0.000
0.000 0.500 0.357
0.500 0.500 0.000
0.500 0.000 0.643
0.000 0.500 0.753
0.500 0.000 0.247
0.500 0.500 0.500

Pr5Tl2CdIr2, optimized geometry, DFT PBE-GGA; D(E_F) = 0.717 states/eV/atom; calculated formation energy = -0.41 eV/atom
1.0
3.865 0.000 0.000
0.000 12.322 0.000
0.000 0.000 12.322
Ir Cd Pr Tl
4 2 10 4
Direct
0.000 0.870 0.370
0.000 0.130 0.630
0.000 0.370 0.130
0.000 0.630 0.870
0.000 0.000 0.000
0.000 0.500 0.500
0.500 0.500 0.000
0.500 0.923 0.207
0.500 0.577 0.707
0.500 0.207 0.077
0.500 0.077 0.793
0.500 0.000 0.500
0.500 0.793 0.923
0.500 0.293 0.577
0.500 0.707 0.423
0.500 0.423 0.293
0.000 0.325 0.825
0.000 0.175 0.325
0.000 0.825 0.675
0.000 0.675 0.175

PrYCdIr, optimized geometry, DFT PBE-GGA; D(E_F) = 0.666 states/eV/atom; calculated formation energy = -0.45 eV/atom
1.0
-4.940 -0.311 1.427
-1.206 -0.871 4.931
-2.102 3.749 2.839
Cd Ir Y Pr
1 1 1 1
Direct
0.500 0.500 0.500
0.000 0.000 0.000
0.750 0.750 0.750
0.250 0.250 0.250

CdIrPt, optimized geometry, DFT PBE-GGA; energy above the most stable polymorph in this dataset = 0.390 eV/atom; D(E_F) = 1.309 states/eV/atom; calculated formation energy = 0.45 eV/atom
1.0
4.382 0.000 0.000
2.191 3.795 0.000
2.191 1.265 3.578
Ir Cd Pt
1 1 1
Direct
0.750 0.750 0.750
0.500 0.500 0.500
0.000 0.000 0.000